# La2DyY4

La2DyY4 after structural relaxation (GGA-PBE, Alexandria via LeMat-Bulk).

## Properties
- SG = C2 (5)
- total energy (eV/atom) = -5.5883
- ΔH_f (0 K) (eV/atom) = 0.17

Cell lengths 9.0267, 9.0267, 11.7556 Å; angles 130.59, 130.59, 44.25 degrees
Fractional coordinates of all 14 atoms:
La: 0.0000 0.0000 0.0000
La: 0.1040 0.3413 0.9724
La: 0.6587 0.8960 0.0276
La: 0.9983 0.0017 0.5000
Dy: 0.1081 0.3440 0.4762
Dy: 0.6560 0.8919 0.5238
Y: 0.2167 0.7744 0.7451
Y: 0.2256 0.7833 0.2549
Y: 0.3590 0.3329 0.3489
Y: 0.3596 0.3313 0.8426
Y: 0.6657 0.3312 0.7493
Y: 0.6671 0.6410 0.6511
Y: 0.6688 0.3343 0.2507
Y: 0.6687 0.6404 0.1574

***

# Ca11Cd9Cu4

Ca11Cd9Cu4 after structural relaxation (GGA-PBE, Alexandria via LeMat-Bulk).

## Properties
- SG = Cmmm (65)
- total energy (eV/atom) = -2.1996
- ΔH_f (0 K) (eV/atom) = -0.26

Cell lengths 13.5430, 13.5430, 3.7425 Å; angles 90.00, 90.00, 114.12 degrees
Fractional coordinates of all 24 atoms:
Ca: 0.0000 0.0000 0.0000
Ca: 0.0712 0.4142 0.0000
Ca: 0.1608 0.8392 0.0000
Ca: 0.3028 0.3028 0.0000
Ca: 0.3701 0.6299 0.0000
Ca: 0.4142 0.0712 0.0000
Ca: 0.5858 0.9288 0.0000
Ca: 0.6299 0.3701 0.0000
Ca: 0.6972 0.6972 0.0000
Ca: 0.8392 0.1608 0.0000
Ca: 0.9288 0.5858 0.0000
Cd: 0.0757 0.2191 0.5000
Cd: 0.1599 0.6314 0.5000
Cd: 0.2191 0.0757 0.5000
Cd: 0.3686 0.8401 0.5000
Cd: 0.5000 0.5000 0.5000
Cd: 0.6314 0.1599 0.5000
Cd: 0.7809 0.9243 0.5000
Cd: 0.8401 0.3686 0.5000
Cd: 0.9243 0.7809 0.5000
Cu: 0.2506 0.4485 0.5000
Cu: 0.4485 0.2506 0.5000
Cu: 0.5515 0.7494 0.5000
Cu: 0.7494 0.5515 0.5000

***

# TbPr7Ga4

TbPr7Ga4 after structural relaxation (GGA-PBE, Alexandria via LeMat-Bulk).

## Properties
- SG = C2/m (12)
- total energy (eV/atom) = -4.3875
- ΔH_f (0 K) (eV/atom) = -0.20

Cell lengths 7.5463, 7.5463, 10.6814 Å; angles 121.15, 121.15, 44.40 degrees
Fractional coordinates of all 12 atoms:
Tb: 0.0000 0.0000 0.0000
Pr: 0.0660 0.0660 0.3862
Pr: 0.2047 0.2047 0.8811
Pr: 0.2946 0.2946 0.3548
Pr: 0.5000 0.5000 0.0000
Pr: 0.7054 0.7054 0.6452
Pr: 0.7953 0.7953 0.1189
Pr: 0.9340 0.9340 0.6138
Ga: 0.3224 0.3224 0.6695
Ga: 0.4478 0.4478 0.2429
Ga: 0.5522 0.5522 0.7571
Ga: 0.6776 0.6776 0.3305

***

# CdGa3Pd

CdGa3Pd after structural relaxation (GGA-PBE, Alexandria via LeMat-Bulk).

## Properties
- SG = P6_3/mmc (194)
- total energy (eV/atom) = -3.1616
- ΔH_f (0 K) (eV/atom) = -0.12

Cell lengths 6.3952, 6.3952, 5.6316 Å; angles 90.00, 90.00, 120.00 degrees
Fractional coordinates of all 10 atoms:
Cd: 0.3333 0.6667 0.2500
Cd: 0.6667 0.3333 0.7500
Ga: 0.1940 0.3880 0.7500
Ga: 0.1940 0.8060 0.7500
Ga: 0.3880 0.1940 0.2500
Ga: 0.6120 0.8060 0.7500
Ga: 0.8060 0.1940 0.2500
Ga: 0.8060 0.6120 0.2500
Pd: 0.0000 0.0000 0.0000
Pd: 0.0000 0.0000 0.5000

***

# K2La2F7

K2La2F7 after structural relaxation (GGA-PBE, Alexandria via LeMat-Bulk).

## Properties
- SG = Cmmm (65)
- energy relative to the elements, uncorrected (eV/atom) = -3.50
- total energy (eV/atom) = -5.7861

Cell lengths 5.9658, 5.9658, 6.3928 Å; angles 90.00, 90.00, 93.69 degrees
Fractional coordinates of all 11 atoms:
K: 0.2412 0.2412 0.0000
K: 0.7588 0.7588 0.0000
La: 0.2315 0.7685 0.5000
La: 0.7685 0.2315 0.5000
F: 0.0000 0.0000 0.2887
F: 0.0000 0.0000 0.7113
F: 0.0000 0.5000 0.2897
F: 0.0000 0.5000 0.7103
F: 0.5000 0.0000 0.2897
F: 0.5000 0.0000 0.7103
F: 0.5000 0.5000 0.5000

***

# Li2ZnNiH

Li2ZnNiH after structural relaxation (GGA-PBE, Alexandria via LeMat-Bulk).

## Properties
- SG = P4/mmm (123)
- total energy (eV/atom) = -2.8934

Cell lengths 3.6494, 3.6494, 4.0219 Å; angles 90.00, 90.00, 90.00 degrees
Fractional coordinates of all 5 atoms:
Li: 0.0000 0.5000 0.0000
Li: 0.5000 0.0000 0.0000
Zn: 0.0000 0.0000 0.5000
Ni: 0.5000 0.5000 0.5000
H: 0.0000 0.0000 0.0000

***

# YScIn2O6

YScIn2O6 after structural relaxation (GGA-PBE, Alexandria via LeMat-Bulk).

## Properties
- SG = R3 (146)
- energy relative to the elements, uncorrected (eV/atom) = -2.51
- total energy (eV/atom) = -7.3072

Cell lengths 5.9115, 5.9115, 5.9115 Å; angles 56.39, 56.39, 56.39 degrees
Fractional coordinates of all 10 atoms:
Y: 0.0000 0.0000 0.0000
Sc: 0.4933 0.4933 0.4933
In: 0.2811 0.2811 0.2811
In: 0.7847 0.7847 0.7847
O: 0.0989 0.6744 0.4030
O: 0.1990 0.5868 0.8791
O: 0.4030 0.0989 0.6744
O: 0.5868 0.8791 0.1990
O: 0.6744 0.4030 0.0989
O: 0.8791 0.1990 0.5868

***

# TbSm3Tm6Th2

TbSm3Tm6Th2 after structural relaxation (GGA-PBE, Alexandria via LeMat-Bulk).

## Properties
- SG = C2/m (12)
- total energy (eV/atom) = -5.0174
- ΔH_f (0 K) (eV/atom) = 0.02

Cell lengths 6.1527, 6.1527, 11.6601 Å; angles 95.06, 95.06, 119.98 degrees
Fractional coordinates of all 12 atoms:
Tb: 0.0000 0.0000 0.0000
Sm: 0.1662 0.8338 0.5000
Sm: 0.5000 0.5000 0.5000
Sm: 0.8338 0.1662 0.5000
Tm: 0.0822 0.4197 0.2463
Tm: 0.2553 0.2553 0.7534
Tm: 0.4197 0.0822 0.2463
Tm: 0.5803 0.9178 0.7537
Tm: 0.7447 0.7447 0.2466
Tm: 0.9178 0.5803 0.7537
Th: 0.3334 0.6666 0.0000
Th: 0.6666 0.3334 0.0000